The following is a DFT calculation (PBE) of crystalline RbNaLaMn2 at its relaxed geometry.

a = 5.548 Å, b = 5.836 Å, c = 5.548 Å
α = 90.00°, β = 90.00°, γ = 90.00°
Atoms (fractional coordinates):
La 0.000 0.500 0.000
Rb 0.500 0.500 0.500
Mn 0.000 0.000 0.500
Mn 0.500 0.000 0.000
Na 0.000 0.000 0.000

Calculated values
**Space-group type**: P4/mmm (123)
**Formation energy from the elements**: 6.31 eV per formula unit
**E_tot**: -3.848 eV per atom
**Crystal system**: tetragonal